YNiAg2F6 after structural relaxation. Source: the Alexandria database, functional PBE with a Hubbard U.

Lattice parameters (Å, degrees): 5.5275 5.6355 5.7447 69.86 88.21 75.91
Positions (direct):
Y 0.0000 0.0000 0.0000
Ni 0.5000 0.0000 0.5000
Ag 0.3782 0.4995 0.7074
Ag 0.6218 0.5005 0.2926
F 0.1923 0.1498 0.6525
F 0.2242 0.6122 0.0402
F 0.3048 0.0406 0.2057
F 0.6952 0.9594 0.7943
F 0.7758 0.3878 0.9598
F 0.8077 0.8502 0.3475

## Properties
- E_tot: -4.8310 eV/atom
- Total magnetic moment: 1.28 Bohr magnetons per cell